## MgZn (PBE)

Data for a relaxed structure of MgZn.

**E**: -2.85 eV per formula unit

POSCAR file:
```
MgZn
1.0
3.084 0.000 0.000
-1.542 2.671 0.000
0.000 0.000 4.498
Mg Zn
1 1
direct
0.667 0.333 0.750 Mg
0.333 0.667 0.250 Zn
```



## MgZn2 (PBE)

Data for a relaxed structure of MgZn2.

**E**: -4.45 eV per formula unit

POSCAR file:
```
MgZn2
1.0
-5.026 -1.145 -0.380
-2.958 -0.086 4.238
-3.552 3.680 0.747
Zn Mg
4 2
direct
0.625 0.625 0.625 Zn
0.125 0.625 0.625 Zn
0.625 0.125 0.625 Zn
0.625 0.625 0.125 Zn
0.000 0.000 0.000 Mg
0.250 0.250 0.250 Mg
```



## MgZr (PBE)

Data for a relaxed structure of MgZr.

**E**: -9.88 eV per formula unit
**Magnetic moment**: 0.004 μB per atom

POSCAR file:
```
MgZr
1.0
5.601 0.001 0.000
0.002 9.437 0.000
0.000 0.000 5.117
Zr Mg
6 6
direct
0.819 0.491 0.500 Zr
0.820 0.165 0.500 Zr
0.320 0.668 0.500 Zr
0.513 0.178 0.000 Zr
0.013 0.655 0.000 Zr
0.319 0.342 0.500 Zr
0.828 0.828 0.500 Mg
0.014 0.999 0.000 Mg
0.514 0.835 0.000 Mg
0.328 0.005 0.500 Mg
0.006 0.327 0.000 Mg
0.506 0.506 0.000 Mg
```



## Mg2Zr (PBE)

Data for a relaxed structure of Mg2Zr.

**E**: -11.48 eV per formula unit
**Magnetic moment**: 0.001 μB per atom

POSCAR file:
```
Mg2Zr
1.0
5.324 12.948 0.000
-5.642 6.613 0.000
0.000 0.000 5.067
Mg Zr
16 8
direct
0.249 0.738 0.000 Mg
0.945 0.624 0.500 Mg
0.781 0.448 0.500 Mg
0.497 0.502 0.000 Mg
0.697 0.859 0.500 Mg
0.526 0.681 0.500 Mg
0.668 0.680 0.000 Mg
0.414 0.913 0.000 Mg
0.086 0.584 0.000 Mg
0.167 0.162 0.000 Mg
0.027 0.199 0.500 Mg
0.921 0.433 0.000 Mg
0.273 0.928 0.500 Mg
0.585 0.087 0.000 Mg
0.108 0.777 0.500 Mg
0.610 0.274 0.500 Mg
0.336 0.322 0.000 Zr
0.204 0.342 0.500 Zr
0.759 0.255 0.000 Zr
0.836 0.863 0.000 Zr
0.358 0.498 0.500 Zr
0.990 0.019 0.000 Zr
0.859 0.040 0.500 Zr
0.435 0.107 0.500 Zr
```